Entry 1:
DFT (meta-GGA SCAN) results for AlZn2HgAs at its PBEsol-relaxed geometry.

a b c (Å): 4.8340 4.8340 5.3260
angles (deg): 90.00 90.00 90.00
Closest atoms and distances in Å follow each position.
Fractional positions:
Al  0.0000  0.0000  0.0000  4 As 3.42, 8 Zn 3.60
Zn  0.0000  0.5000  0.5000  2 Hg 2.42
Zn  0.5000  0.0000  0.5000  2 Hg 2.42
Hg  0.5000  0.5000  0.5000  4 Zn 2.42, 2 As 2.66
As  0.5000  0.5000  0.0000  2 Hg 2.66

## Properties
The total energy is -119.46 eV per cell. As for the density: 5.8 g/cm3. As for the energy relative to the elements: 0.735 eV per atom. The calculation puts the total magnetization at 0.000 μB/cell.


Entry 2:
DFT (meta-GGA SCAN) results for AlAs3I at its PBEsol-relaxed geometry.

a b c (Å): 5.2958 5.2958 5.2958
angles (deg): 90.00 90.00 90.00
Closest atoms and distances in Å follow each position.
Fractional positions:
Al  0.0000  0.0000  0.0000  12 As 3.74
As  0.0000  0.5000  0.5000  2 I 2.65
As  0.5000  0.0000  0.5000  2 I 2.65
As  0.5000  0.5000  0.0000  2 I 2.65
I  0.5000  0.5000  0.5000  6 As 2.65

## Properties
The total energy is -97.84 eV per cell. As for the density: 4.2 g/cm3. The calculation puts the total magnetization at 0.001 μB/cell.


Entry 3:
DFT (meta-GGA SCAN) results for Al3AsI at its PBEsol-relaxed geometry.

a b c (Å): 5.3145 5.3145 5.3145
angles (deg): 90.00 90.00 90.00
Closest atoms and distances in Å follow each position.
Fractional positions:
Al  0.0000  0.0000  0.5000  2 I 2.66
Al  0.0000  0.5000  0.0000  2 I 2.66
Al  0.5000  0.0000  0.0000  2 I 2.66
As  0.5000  0.5000  0.5000  12 Al 3.76
I  0.0000  0.0000  0.0000  6 Al 2.66

## Properties
The total energy is -73.07 eV per cell. As for the density: 3.1 g/cm3. The calculation puts the total magnetization at 0.365 μB/cell.


Entry 4:
DFT (meta-GGA SCAN) results for Li2AlAsI at its PBEsol-relaxed geometry.

a b c (Å): 4.7275 4.7275 6.1555
angles (deg): 90.00 90.00 90.00
Closest atoms and distances in Å follow each position.
Fractional positions:
Li  0.0000  0.5000  0.0000  2 As 2.36
Li  0.5000  0.0000  0.0000  2 As 2.36
Al  0.0000  0.0000  0.5000  4 I 3.34
As  0.5000  0.5000  0.0000  4 Li 2.36
I  0.5000  0.5000  0.5000  2 As 3.08, 4 Al 3.34

## Properties
The total energy is -69.33 eV per cell. As for the density: 2.9 g/cm3. The calculation puts the total magnetization at 0.297 μB/cell.


Entry 5:
DFT (meta-GGA SCAN) results for AlAs2PdI at its PBEsol-relaxed geometry.

a b c (Å): 5.2480 5.2480 5.1296
angles (deg): 90.00 90.00 90.00
Closest atoms and distances in Å follow each position.
Fractional positions:
Al  0.0000  0.0000  0.0000  2 I 2.56
As  0.0000  0.5000  0.5000  2 I 2.62
As  0.5000  0.0000  0.5000  2 I 2.62
Pd  0.5000  0.5000  0.0000  8 As 3.67, 4 Al 3.71
I  0.0000  0.0000  0.5000  2 Al 2.56, 4 As 2.62

## Properties
The total energy is -109.92 eV per cell. As for the density: 4.8 g/cm3. The calculation puts the total magnetization at 0.000 μB/cell.


Entry 6:
DFT (meta-GGA SCAN) results for AlAsSe2I at its PBEsol-relaxed geometry.

a b c (Å): 5.3545 5.3545 5.2722
angles (deg): 90.00 90.00 90.00
Closest atoms and distances in Å follow each position.
Fractional positions:
Al  0.0000  0.0000  0.0000  8 Se 3.76, 4 As 3.79
As  0.5000  0.5000  0.0000  2 I 2.64
Se  0.0000  0.5000  0.5000  2 I 2.68
Se  0.5000  0.0000  0.5000  2 I 2.68
I  0.5000  0.5000  0.5000  2 As 2.64, 4 Se 2.68

## Properties
The total energy is -99.69 eV per cell. As for the density: 4.2 g/cm3. The calculation puts the total magnetization at 0.002 μB/cell. The value obtained for the offset from the most stable computed form is 740.1 meV per atom.


Entry 7:
DFT (meta-GGA SCAN) results for AlAsSe2I at its PBEsol-relaxed geometry.

a b c (Å): 4.7707 4.7707 5.1608
angles (deg): 90.00 90.00 90.00
Closest atoms and distances in Å follow each position.
Fractional positions:
Al  0.0000  0.0000  0.0000  4 Se 2.39, 2 As 2.58
As  0.0000  0.0000  0.5000  2 Al 2.58
Se  0.0000  0.5000  0.0000  2 Al 2.39
Se  0.5000  0.0000  0.0000  2 Al 2.39
I  0.5000  0.5000  0.5000  4 As 3.37, 8 Se 3.51

## Properties
The total energy is -103.39 eV per cell. As for the density: 5.5 g/cm3. The calculation puts the total magnetization at 0.000 μB/cell. The value obtained for the offset from the most stable computed form is 0.0 meV per atom.


Entry 8:
DFT (meta-GGA SCAN) results for AlInAs2 at its PBEsol-relaxed geometry.

a b c (Å): 3.8566 3.8566 6.6950
angles (deg): 106.90 106.90 60.17
Closest atoms and distances in Å follow each position.
Fractional positions:
Al  0.0000  0.0000  0.0000  6 As 2.63
In  0.5000  0.5000  0.5000  6 As 2.84
As  0.2598  0.2598  0.7781  3 Al 2.63, 3 In 2.84
As  0.7402  0.7402  0.2219  3 Al 2.63, 3 In 2.84

## Properties
The total energy is -82.10 eV per cell. As for the density: 6.0 g/cm3. As for the energy relative to the elements: -0.146 eV per atom. The calculation puts the total magnetization at 0.000 μB/cell. The value obtained for the offset from the most stable computed form is 304.0 meV per atom.


Entry 9:
DFT (meta-GGA SCAN) results for AlInAs2 at its PBEsol-relaxed geometry.

a b c (Å): 5.1701 4.1486 4.1486
angles (deg): 78.85 90.00 90.00
Closest atoms and distances in Å follow each position.
Fractional positions:
Al  0.0000  0.0000  0.0000  5 As 2.50-2.73
In  0.5000  0.4676  0.4676  5 As 2.62-2.74
As  0.0000  0.6092  0.6092  3 Al 2.50-2.73, 2 In 2.74
As  0.5000  0.0582  0.0582  2 Al 2.61, 3 In 2.62-2.70

## Properties
The total energy is -82.08 eV per cell. As for the density: 5.5 g/cm3. As for the energy relative to the elements: -0.141 eV per atom. The calculation puts the total magnetization at 0.000 μB/cell. The value obtained for the offset from the most stable computed form is 308.9 meV per atom.


Entry 10:
DFT (meta-GGA SCAN) results for AlInAs2 at its PBEsol-relaxed geometry.

a b c (Å): 5.0561 5.0561 3.0697
angles (deg): 90.00 90.00 90.00
Closest atoms and distances in Å follow each position.
Fractional positions:
Al  0.0000  0.0000  0.0000  8 As 2.96, 2 Al 3.07
In  0.5000  0.5000  0.0000  8 As 2.96, 2 In 3.07
As  0.0000  0.5000  0.5000  4 In 2.96, 4 Al 2.96, 2 As 3.07
As  0.5000  0.0000  0.5000  4 In 2.96, 4 Al 2.96, 2 As 3.07

## Properties
The total energy is -80.58 eV per cell. As for the density: 6.2 g/cm3. As for the energy relative to the elements: 0.235 eV per atom. The calculation puts the total magnetization at 0.000 μB/cell. The value obtained for the offset from the most stable computed form is 685.1 meV per atom.


Entry 11:
DFT (meta-GGA SCAN) results for AlInAs2 at its PBEsol-relaxed geometry.

a b c (Å): 7.1824 7.1824 7.1824
angles (deg): 131.71 131.71 70.68
Closest atoms and distances in Å follow each position.
Fractional positions:
Al  0.0000  0.0000  0.0000  4 As 2.46
Al  0.7500  0.2500  0.5000  4 As 2.46
In  0.2500  0.7500  0.5000  4 As 2.63
In  0.5000  0.5000  0.0000  4 As 2.63
As  0.1000  0.6250  0.9750  2 Al 2.46, 2 In 2.63
As  0.3750  0.3500  0.4750  2 Al 2.46, 2 In 2.63
As  0.6500  0.1250  0.0250  2 Al 2.46, 2 In 2.63
As  0.8750  0.9000  0.5250  2 Al 2.46, 2 In 2.63

## Properties
The total energy is -166.64 eV per cell. As for the density: 4.8 g/cm3. As for the energy relative to the elements: -0.450 eV per atom. The calculation puts the total magnetization at 0.000 μB/cell. The value obtained for the offset from the most stable computed form is 0.0 meV per atom.


Entry 12:
DFT (meta-GGA SCAN) results for AlInAs4 at its PBEsol-relaxed geometry.

a b c (Å): 5.5987 5.5987 5.5987
angles (deg): 60.00 60.00 60.00
Closest atoms and distances in Å follow each position.
Fractional positions:
Al  0.0000  0.0000  0.0000  12 As 3.28, 4 In 3.43
In  0.2500  0.2500  0.2500  12 As 3.28, 4 Al 3.43
As  0.1230  0.6257  0.6257  6 As 2.78-2.81
As  0.6257  0.1230  0.6257  6 As 2.78-2.81
As  0.6257  0.6257  0.1230  6 As 2.78-2.81
As  0.6257  0.6257  0.6257  6 As 2.78-2.81

## Properties
The total energy is -119.47 eV per cell. As for the density: 5.9 g/cm3. As for the energy relative to the elements: 0.405 eV per atom. The calculation puts the total magnetization at 0.000 μB/cell.